Entry 1:
! PBE MgZrIr3, relaxed; values from VASP
! **ΔH_f (0 K)**: 1.1595 eV per atom
! **E_tot**: -30.93 eV per cell
&SYSTEM
  ibrav = 0, nat = 5, ntyp = 3
/
ATOMIC_SPECIES
Mg 24.30 Mg.upf
Zr 91.22 Zr.upf
Ir 192.22 Ir.upf
CELL_PARAMETERS angstrom
4.872 0.000 0.000
0.000 4.872 0.000
0.000 0.000 4.872
ATOMIC_POSITIONS angstrom
Mg 0.000 0.000 0.000
Zr 2.436 2.436 2.436
Ir 0.000 2.436 2.436
Ir 2.436 0.000 2.436
Ir 2.436 2.436 0.000

=====

Entry 2:
! PBE Mg2ZrIr2, relaxed; values from VASP
! **ΔH_f (0 K)**: -0.2696 eV per atom
! **E_tot**: -30.81 eV per cell
&SYSTEM
  ibrav = 0, nat = 5, ntyp = 3
/
ATOMIC_SPECIES
Mg 24.30 Mg.upf
Zr 91.22 Zr.upf
Ir 192.22 Ir.upf
CELL_PARAMETERS angstrom
-1.858 1.858 6.566
1.858 -1.858 6.566
1.858 1.858 -6.566
ATOMIC_POSITIONS angstrom
Mg 1.858 0.000 3.283
Mg 0.000 1.858 3.283
Zr 0.000 0.000 0.000
Ir 0.000 0.000 5.245
Ir 0.000 0.000 7.887

=====

Entry 3:
! PBE Mg2ZrIr, relaxed; values from VASP
! **ΔH_f (0 K)**: -0.2280 eV per atom
! **E_tot**: -21.51 eV per cell
&SYSTEM
  ibrav = 0, nat = 4, ntyp = 3
/
ATOMIC_SPECIES
Mg 24.30 Mg.upf
Zr 91.22 Zr.upf
Ir 192.22 Ir.upf
CELL_PARAMETERS angstrom
-1.984 1.984 4.761
1.984 -1.984 4.761
1.984 1.984 -4.761
ATOMIC_POSITIONS angstrom
Mg 1.984 0.000 2.380
Mg 0.000 1.984 2.380
Zr 0.000 0.000 0.000
Ir 0.000 0.000 4.761

=====

Entry 4:
! PBE MnIr4, relaxed; values from VASP
! **ΔH_f (0 K)**: 0.3714 eV per atom
! **E_tot**: -42.76 eV per cell
&SYSTEM
  ibrav = 0, nat = 5, ntyp = 2
/
ATOMIC_SPECIES
Mn 54.94 Mn.upf
Ir 192.22 Ir.upf
CELL_PARAMETERS angstrom
-1.822 1.822 6.216
1.822 -1.822 6.216
1.822 1.822 -6.216
ATOMIC_POSITIONS angstrom
Mn 0.000 0.000 0.000
Ir 1.822 0.000 3.108
Ir 0.000 0.000 5.004
Ir 0.000 0.000 7.428
Ir 0.000 1.822 3.108